[1]
DFT (GGA-PBE) results for crystalline LiTlGaI2 at its relaxed geometry.

Results
Formation energy (no corrections) = -227 meV/atom
SG = No. 123

a = 6.1877 Å, b = 5.0111 Å, c = 6.1877 Å
α = 90.00°, β = 90.00°, γ = 90.00°
Closest atoms and distances in Å follow each position.
Sites, in units of the cell vectors:
1 I 0.5000 0.0000 0.0000  2 Ga 3.09
2 I 0.0000 0.0000 0.5000  2 Ga 3.09
3 Li 0.0000 0.5000 0.0000  2 Ga 2.51
4 Ga 0.0000 0.0000 0.0000  2 Li 2.51
5 Tl 0.5000 0.5000 0.5000  8 I 3.98, 4 Li 4.38

[2]
DFT (GGA-PBE) results for crystalline LiTl3Ga2I6 at its relaxed geometry.

Results
Formation energy (no corrections) = -628 meV/atom
SG = No. 12

a = 8.2106 Å, b = 8.2106 Å, c = 8.3840 Å
α = 99.46°, β = 99.46°, γ = 119.57°
Closest atoms and distances in Å follow each position.
Sites, in units of the cell vectors:
1 Ga 0.3339 0.6661 0.0000  6 I 3.30-3.34
2 Ga 0.6661 0.3339 0.0000  6 I 3.30-3.34
3 I 0.0715 0.3858 0.2167  1 Li 3.10, 2 Ga 3.30-3.32
4 I 0.7593 0.7593 0.2292  1 Li 3.19, 2 Ga 3.34, 2 Tl 3.47
5 I 0.9285 0.6142 0.7833  1 Li 3.10, 2 Ga 3.30-3.32
6 I 0.3858 0.0715 0.2167  1 Li 3.10, 2 Ga 3.30-3.32
7 I 0.2407 0.2407 0.7708  1 Li 3.19, 2 Ga 3.34, 2 Tl 3.47
8 I 0.6142 0.9285 0.7833  1 Li 3.10, 2 Ga 3.30-3.32
9 Tl 0.5000 0.5000 0.5000  6 I 3.49-3.59
10 Tl 0.8292 0.1708 0.5000  6 I 3.47-3.63
11 Tl 0.1708 0.8292 0.5000  6 I 3.47-3.63
12 Li 0.0000 0.0000 0.0000  6 I 3.10-3.19

[3]
DFT (GGA-PBE) results for crystalline LiTlGaI3 at its relaxed geometry.

Results
Formation energy (no corrections) = -725 meV/atom
SG = No. 11

a = 4.6864 Å, b = 9.8382 Å, c = 10.5286 Å
α = 101.76°, β = 90.00°, γ = 90.00°
Closest atoms and distances in Å follow each position.
Sites, in units of the cell vectors:
1 I 0.2500 0.1034 0.8638  1 Li 2.76
2 I 0.2500 0.8061 0.4885  3 Li 2.79-2.80
3 I 0.7500 0.4264 0.1627  3 Ga 3.16-3.28, 2 Tl 3.47
4 I 0.2500 0.5736 0.8373  3 Ga 3.16-3.28, 2 Tl 3.47
5 I 0.7500 0.1939 0.5115  3 Li 2.79-2.80
6 I 0.7500 0.8966 0.1362  1 Li 2.76
7 Ga 0.7500 0.3449 0.8566  5 I 3.16-3.35
8 Ga 0.2500 0.6551 0.1434  5 I 3.16-3.35
9 Li 0.7500 0.9102 0.4002  4 I 2.76-2.80
10 Li 0.2500 0.0898 0.5998  4 I 2.76-2.80
11 Tl 0.7500 0.8195 0.7919  5 I 3.47-3.61
12 Tl 0.2500 0.1805 0.2081  5 I 3.47-3.61

[4]
DFT (GGA-PBE) results for crystalline LiTl2GaI4 at its relaxed geometry.

Results
Formation energy (no corrections) = -689 meV/atom
SG = No. 10

a = 4.6980 Å, b = 8.3712 Å, c = 8.1707 Å
α = 71.35°, β = 90.00°, γ = 90.00°
Closest atoms and distances in Å follow each position.
Sites, in units of the cell vectors:
1 Ga 0.5000 0.5000 0.0000  6 I 3.28
2 I 0.0000 0.7196 0.7456  1 Li 3.12, 2 Ga 3.28, 2 Tl 3.47
3 I 0.5000 0.2855 0.7266  2 Li 3.17, 1 Ga 3.28, 1 Tl 3.46
4 I 0.5000 0.7145 0.2734  2 Li 3.17, 1 Ga 3.28, 1 Tl 3.46
5 I 0.0000 0.2804 0.2544  1 Li 3.12, 2 Ga 3.28, 2 Tl 3.47
6 Tl 0.0000 0.0000 0.0000  6 I 3.58-3.60
7 Tl 0.5000 0.0000 0.5000  6 I 3.46-3.47
8 Li 0.0000 0.5000 0.5000  6 I 3.12-3.17

[5]
DFT (GGA-PBE) results for crystalline Li2TmGaI6 at its relaxed geometry.

Results
Formation energy (no corrections) = -1069 meV/atom
SG = No. 146

a = 7.6820 Å, b = 7.6828 Å, c = 8.3708 Å
α = 62.69°, β = 62.68°, γ = 59.99°
Closest atoms and distances in Å follow each position.
Sites, in units of the cell vectors:
1 I 0.3805 0.7375 0.7554  2 Li 2.99-3.09, 1 Tm 3.02, 1 Ga 3.24
2 I 0.1265 0.3805 0.7554  2 Li 2.99-3.09, 1 Tm 3.02, 1 Ga 3.24
3 I 0.2507 0.9199 0.2402  1 Tm 3.01, 2 Li 3.06-3.10, 1 Ga 3.33
4 I 0.9199 0.5892 0.2402  1 Tm 3.01, 2 Li 3.06-3.10, 1 Ga 3.33
5 I 0.5892 0.2507 0.2402  1 Tm 3.01, 2 Li 3.06-3.10, 1 Ga 3.33
6 I 0.7376 0.1265 0.7554  2 Li 2.99-3.09, 1 Tm 3.02, 1 Ga 3.24
7 Tm 0.3266 0.3265 0.0204  6 I 3.01-3.02
8 Li 0.5088 0.5087 0.4740  6 I 3.06-3.09
9 Li 0.0032 0.0035 0.9902  6 I 2.99-3.10
10 Ga 0.8187 0.8186 0.5439  6 I 3.24-3.33

[6]
DFT (GGA-PBE) results for crystalline Li2GaWI at its relaxed geometry.

Results
Formation energy (no corrections) = 1041 meV/atom
SG = No. 123

a = 4.7515 Å, b = 5.5439 Å, c = 4.7515 Å
α = 90.00°, β = 90.00°, γ = 90.00°
Closest atoms and distances in Å follow each position.
Sites, in units of the cell vectors:
1 Li 0.0000 0.0000 0.5000  2 I 2.38
2 Li 0.5000 0.0000 0.0000  2 I 2.38
3 Ga 0.5000 0.5000 0.5000  4 W 3.36, 8 Li 3.65
4 W 0.0000 0.5000 0.0000  2 I 2.77
5 I 0.0000 0.0000 0.0000  4 Li 2.38

[7]
DFT (GGA-PBE) results for crystalline Li2YGaI6 at its relaxed geometry.

Results
Formation energy (no corrections) = -1082 meV/atom
SG = No. 146

a = 7.7148 Å, b = 7.7149 Å, c = 8.3948 Å
α = 62.65°, β = 62.64°, γ = 59.99°
Closest atoms and distances in Å follow each position.
Sites, in units of the cell vectors:
1 Li 0.5086 0.5085 0.4744  6 I 3.05-3.10
2 Li 0.0040 0.0042 0.9878  6 I 2.99-3.11
3 Y 0.3257 0.3256 0.0230  6 I 3.04-3.05
4 I 0.9151 0.5938 0.2415  1 Y 3.04, 2 Li 3.05-3.11, 1 Ga 3.33
5 I 0.5937 0.2496 0.2415  1 Y 3.04, 2 Li 3.06-3.11, 1 Ga 3.33
6 I 0.1272 0.3796 0.7533  2 Li 2.99-3.10, 1 Y 3.05, 1 Ga 3.24
7 I 0.2496 0.9151 0.2415  1 Y 3.04, 2 Li 3.06-3.11, 1 Ga 3.33
8 I 0.7399 0.1271 0.7534  2 Li 2.99-3.10, 1 Y 3.05, 1 Ga 3.24
9 I 0.3796 0.7398 0.7533  2 Li 2.99-3.09, 1 Y 3.05, 1 Ga 3.24
10 Ga 0.8182 0.8182 0.5453  6 I 3.24-3.33

[8]
DFT (GGA-PBE) results for crystalline LiZnGaI2 at its relaxed geometry.

Results
Formation energy (no corrections) = 32 meV/atom
SG = No. 123

a = 5.8768 Å, b = 5.5120 Å, c = 5.8768 Å
α = 90.00°, β = 90.00°, γ = 90.00°
Closest atoms and distances in Å follow each position.
Sites, in units of the cell vectors:
1 I 0.5000 0.0000 0.0000  2 Ga 2.94
2 I 0.0000 0.0000 0.5000  2 Ga 2.94
3 Zn 0.5000 0.5000 0.5000  8 I 4.03, 4 Li 4.16
4 Li 0.0000 0.5000 0.0000  2 Ga 2.76
5 Ga 0.0000 0.0000 0.0000  2 Li 2.76, 4 I 2.94

[9]
DFT (GGA-PBE) results for crystalline Mg3GaI at its relaxed geometry.

Results
Formation energy (no corrections) = 670 meV/atom
SG = No. 221
Offset from the most stable computed form = 0.840 eV per atom

a = 5.6991 Å, b = 5.6991 Å, c = 5.6991 Å
α = 90.00°, β = 90.00°, γ = 90.00°
Closest atoms and distances in Å follow each position.
Sites, in units of the cell vectors:
1 Mg 0.0000 0.5000 0.0000  2 I 2.85
2 Mg 0.5000 0.0000 0.0000  2 I 2.85
3 Mg 0.0000 0.0000 0.5000  2 I 2.85
4 I 0.0000 0.0000 0.0000  6 Mg 2.85
5 Ga 0.5000 0.5000 0.5000  12 Mg 4.03

[10]
DFT (GGA-PBE) results for crystalline MgGa2I5 at its relaxed geometry.

Results
Formation energy (no corrections) = -527 meV/atom
SG = No. 63

a = 5.8927 Å, b = 7.9287 Å, c = 14.6768 Å
α = 90.00°, β = 90.00°, γ = 111.81°
Closest atoms and distances in Å follow each position.
Sites, in units of the cell vectors:
1 Mg 0.2008 0.4016 0.2500  6 I 2.87-3.08
2 Mg 0.7992 0.5984 0.7500  6 I 2.87-3.08
3 Ga 0.1513 0.3026 0.9409  4 I 2.94-3.18
4 Ga 0.8487 0.6974 0.0591  4 I 2.94-3.18
5 Ga 0.1513 0.3026 0.5591  4 I 2.94-3.18
6 Ga 0.8487 0.6974 0.4409  4 I 2.94-3.18
7 I 0.3313 0.6626 0.4136  2 Ga 2.98, 1 Mg 3.08
8 I 0.2747 0.5493 0.7500  2 Mg 2.97
9 I 0.0570 0.1139 0.1177  1 Mg 2.87, 2 Ga 2.94-3.18
10 I 0.6687 0.3374 0.9136  2 Ga 2.98, 1 Mg 3.08
11 I 0.6687 0.3374 0.5864  2 Ga 2.98, 1 Mg 3.08
12 I 0.9430 0.8861 0.8823  1 Mg 2.87, 2 Ga 2.94-3.18
13 I 0.3313 0.6626 0.0864  2 Ga 2.98, 1 Mg 3.08
14 I 0.7253 0.4507 0.2500  2 Mg 2.97
15 I 0.0570 0.1139 0.3823  1 Mg 2.87, 2 Ga 2.94-3.18
16 I 0.9430 0.8861 0.6177  1 Mg 2.87, 2 Ga 2.94-3.18